a | Here is ZrTa2Co after structural relaxation from the Alexandria database. Energies are from PBEsol.

a b c (Å): 4.493 4.493 4.493
angles (deg): 60.00 60.00 60.00
Fractional positions:
1 Co 0.000 0.000 0.000
2 Ta 0.250 0.250 0.250
3 Ta 0.750 0.750 0.750
4 Zr 0.500 0.500 0.500

size of the total moment: 0.0 μB/cell
space group: Fm-3m, No. 225


b | Here is ZrTa2Co after structural relaxation from the Alexandria database. Energies are from PBEsol.

a b c (Å): 2.886 4.378 5.338
angles (deg): 90.00 100.90 90.00
Fractional positions:
1 Co 0.246 0.500 0.760
2 Ta 0.014 0.000 0.995
3 Ta 0.752 0.500 0.234
4 Zr 0.489 0.000 0.511

size of the total moment: 0.0 μB/cell
space group: Pm, No. 6


Which one is most stable, and which one is least stable? b is the most stable of them, while a is the least stable.


a | Here is CoTc5 after structural relaxation from the Alexandria database. Energies are from PBEsol.

a b c (Å): 2.688 4.255 7.113
angles (deg): 90.00 100.89 90.00
Fractional positions:
1 Co 0.998 0.000 0.995
2 Tc 0.777 0.500 0.554
3 Tc 0.664 0.000 0.328
4 Tc 0.448 0.500 0.895
5 Tc 0.339 0.000 0.678
6 Tc 0.109 0.500 0.217

size of the total moment: 0.0 μB/cell
space group: Amm2, No. 38


b | Here is CoTc5 after structural relaxation from the Alexandria database. Energies are from PBEsol.

a b c (Å): 3.763 3.752 5.962
angles (deg): 90.00 108.40 90.00
Fractional positions:
1 Co 0.500 0.000 0.000
2 Tc 0.338 0.500 0.676
3 Tc 0.161 0.000 0.322
4 Tc 0.000 0.500 0.000
5 Tc 0.839 0.000 0.678
6 Tc 0.662 0.500 0.324

size of the total moment: 0.0 μB/cell
space group: Cmmm, No. 65


Which one is most stable, and which one is least stable? a is the most stable of them, while b is the least stable.


a | Here is CoTc3 after structural relaxation from the Alexandria database. Energies are from PBEsol.

a b c (Å): 5.296 5.296 8.502
angles (deg): 90.00 90.00 120.00
Fractional positions:
1 Co 0.000 0.000 0.000
2 Co 0.000 0.000 0.500
3 Co 0.667 0.333 0.750
4 Co 0.333 0.667 0.250
5 Tc 0.000 0.500 0.000
6 Tc 0.000 0.500 0.500
7 Tc 0.835 0.165 0.250
8 Tc 0.835 0.670 0.250
9 Tc 0.670 0.835 0.750
10 Tc 0.500 0.500 0.000
11 Tc 0.500 0.500 0.500
12 Tc 0.500 0.000 0.000
13 Tc 0.500 0.000 0.500
14 Tc 0.330 0.165 0.250
15 Tc 0.165 0.330 0.750
16 Tc 0.165 0.835 0.750

size of the total moment: 0.0 μB/cell
space group: P6_3/mmc, No. 194


b | Here is CoTc3 after structural relaxation from the Alexandria database. Energies are from PBEsol.

a b c (Å): 3.726 3.726 3.726
angles (deg): 90.00 90.00 90.00
Fractional positions:
1 Co 0.000 0.000 0.000
2 Tc 0.000 0.500 0.500
3 Tc 0.500 0.000 0.500
4 Tc 0.500 0.500 0.000

size of the total moment: 0.0 μB/cell
space group: Pm-3m, No. 221


Which one is most stable, and which one is least stable? a is the most stable of them, while b is the least stable.


a | Here is CoTc3 after structural relaxation from the Alexandria database. Energies are from PBEsol.

a b c (Å): 2.661 4.616 4.995
angles (deg): 117.52 105.45 90.00
Fractional positions:
1 Co 0.000 0.998 0.000
2 Tc 0.255 0.921 0.510
3 Tc 0.500 0.504 0.000
4 Tc 0.745 0.410 0.490

size of the total moment: 0.0 μB/cell
space group: Imm2, No. 44


b | Here is CoTc3 after structural relaxation from the Alexandria database. Energies are from PBEsol.

a b c (Å): 4.566 5.314 12.811
angles (deg): 90.00 90.00 90.00
Fractional positions:
1 Co 0.009 0.500 0.500
2 Co 0.336 0.500 0.168
3 Co 0.336 0.500 0.832
4 Co 0.991 0.000 0.000
5 Co 0.664 0.000 0.668
6 Co 0.664 0.000 0.332
7 Tc 0.832 0.748 0.164
8 Tc 0.832 0.748 0.836
9 Tc 0.511 0.749 0.500
10 Tc 0.489 0.751 0.000
11 Tc 0.168 0.752 0.664
12 Tc 0.168 0.752 0.336
13 Tc 0.000 0.500 0.000
14 Tc 0.669 0.500 0.666
15 Tc 0.669 0.500 0.334
16 Tc 0.832 0.252 0.164
17 Tc 0.832 0.252 0.836
18 Tc 0.511 0.251 0.500
19 Tc 0.489 0.249 0.000
20 Tc 0.168 0.248 0.664
21 Tc 0.168 0.248 0.336
22 Tc 0.000 0.000 0.500
23 Tc 0.331 0.000 0.166
24 Tc 0.331 0.000 0.834

size of the total moment: 0.0 μB/cell
space group: Pmmn, No. 59


Which one is most stable, and which one is least stable? b is the most stable of them, while a is the least stable.


a | Here is CoTc3 after structural relaxation from the Alexandria database. Energies are from PBEsol.

a b c (Å): 2.663 4.219 4.622
angles (deg): 90.00 90.00 90.00
Fractional positions:
1 Co 0.000 0.000 0.994
2 Tc 0.000 0.500 0.327
3 Tc 0.500 0.000 0.506
4 Tc 0.500 0.500 0.840

size of the total moment: 0.0 μB/cell
space group: Pmm2, No. 25


b | Here is CoTc3 after structural relaxation from the Alexandria database. Energies are from PBEsol.

a b c (Å): 3.747 3.747 4.546
angles (deg): 114.34 114.34 90.00
Fractional positions:
1 Co 0.500 0.500 0.000
2 Tc 0.750 0.250 0.500
3 Tc 0.250 0.750 0.500
4 Tc 0.000 0.000 0.000

size of the total moment: 0.0 μB/cell
space group: I4/mmm, No. 139


Which one is most stable, and which one is least stable? a is the most stable of them, while b is the least stable.


a | Here is CoTcTe2 after structural relaxation from the Alexandria database. Energies are from PBEsol.

a b c (Å): 3.244 3.244 6.444
angles (deg): 90.00 89.97 90.00
Site moments in Bohr magnetons follow the coordinates.
Fractional positions:
1 Co 0.500 0.500 0.000  0.87
2 Tc 0.500 0.500 0.500  0.07
3 Te 0.000 0.000 0.755  0.01
4 Te 0.000 0.000 0.245  0.01

size of the total moment: 0.9 μB/cell
space group: P4/mmm, No. 123


b | Here is CoTcTe2 after structural relaxation from the Alexandria database. Energies are from PBEsol.

a b c (Å): 3.289 3.289 8.742
angles (deg): 79.16 79.16 60.00
Site moments in Bohr magnetons follow the coordinates.
Fractional positions:
1 Te 0.907 0.907 0.279  0.01
2 Te 0.093 0.093 0.721  0.01
3 Co 0.000 0.000 0.000  1.46
4 Tc 0.500 0.500 0.500  0.01

size of the total moment: 1.4 μB/cell
space group: R-3m, No. 166


Which one is most stable, and which one is least stable? a is the most stable of them, while b is the least stable.


a | Here is Tl2CoTc after structural relaxation from the Alexandria database. Energies are from PBEsol.

a b c (Å): 2.890 4.463 6.140
angles (deg): 111.31 103.61 90.00
Site moments in Bohr magnetons follow the coordinates.
Fractional positions:
1 Co 0.512 0.512 0.023  0.43
2 Tc 0.190 0.690 0.379  0.17
3 Tl 0.010 0.010 0.019  -0.01
4 Tl 0.789 0.289 0.579  -0.01

size of the total moment: 0.6 μB/cell
space group: Imm2, No. 44


b | Here is Tl2CoTc after structural relaxation from the Alexandria database. Energies are from PBEsol.

a b c (Å): 2.934 2.934 8.461
angles (deg): 90.00 90.00 90.00
Fractional positions:
1 Co 0.000 0.000 0.543
2 Tc 0.500 0.500 0.697
3 Tl 0.000 0.000 0.957
4 Tl 0.500 0.500 0.303

size of the total moment: 0.0 μB/cell
space group: P4mm, No. 99


Which one is most stable, and which one is least stable? b is the most stable of them, while a is the least stable.


a | Here is CoTcW after structural relaxation from the Alexandria database. Energies are from PBEsol.

a b c (Å): 4.087 4.087 4.087
angles (deg): 60.00 60.00 60.00
Site moments in Bohr magnetons follow the coordinates.
Fractional positions:
1 Co 0.500 0.500 0.500  1.43
2 Tc 0.250 0.250 0.250  0.23
3 W 0.000 0.000 0.000  0.26

size of the total moment: 1.9 μB/cell
space group: F-43m, No. 216


b | Here is CoTcW after structural relaxation from the Alexandria database. Energies are from PBEsol.

a b c (Å): 3.114 3.114 4.735
angles (deg): 109.20 109.20 90.00
Site moments in Bohr magnetons follow the coordinates.
Fractional positions:
1 Co 0.996 0.996 0.991  1.37
2 Tc 0.669 0.669 0.337  0.37
3 W 0.336 0.336 0.671  0.02

size of the total moment: 1.8 μB/cell
space group: I4mm, No. 107


Which one is most stable, and which one is least stable? b is the most stable of them, while a is the least stable.